1.
Compound: MnSn2Br
Source: the Alexandria database
Functional: PBE-GGA
Structure: optimized geometry

Results
ΔE_f (raw) ... 0.381 eV per atom
Distance to the lowest polymorph of the same formula ... 0 meV per atom
VASP energy ... -4.3308 eV per atom

Unit cell a=8.7429 b=8.7429 c=8.7429 alpha=140.28 beta=140.28 gamma=57.43
Last column: nearest neighbours and their distance in Å.
Atoms (fractional coordinates):
Mn (0.0000, 0.0000, 0.0000)  4 Sn 2.60
Mn (0.7500, 0.2500, 0.5000)  4 Sn 2.60
Sn (0.0334, 0.6250, 0.9084)  2 Mn 2.60
Sn (0.3750, 0.2834, 0.4084)  2 Mn 2.60
Sn (0.7166, 0.1250, 0.0916)  2 Mn 2.60
Sn (0.8750, 0.9666, 0.5916)  2 Mn 2.60
Br (0.2500, 0.7500, 0.5000)  4 Sn 3.16
Br (0.5000, 0.5000, 0.0000)  4 Sn 3.16

***

2.
Compound: MnSnBr6
Source: the Alexandria database
Functional: PBE-GGA
Structure: optimized geometry

Results
ΔE_f (raw) ... -0.616 eV per atom
Distance to the lowest polymorph of the same formula ... 0 meV per atom
VASP energy ... -3.5177 eV per atom

Unit cell a=7.2994 b=7.2994 c=6.6353 alpha=98.55 beta=98.55 gamma=125.90
Last column: nearest neighbours and their distance in Å.
Atoms (fractional coordinates):
Mn (0.0000, 0.0000, 0.0000)  6 Br 2.65-2.76
Sn (0.5000, 0.5000, 0.5000)  6 Br 2.64-2.68
Br (0.1058, 0.3896, 0.2469)  1 Mn 2.65, 1 Sn 2.68
Br (0.2550, 0.2550, 0.7438)  1 Sn 2.64, 1 Mn 2.76
Br (0.3896, 0.1058, 0.2469)  1 Mn 2.65, 1 Sn 2.68
Br (0.6104, 0.8942, 0.7531)  1 Mn 2.65, 1 Sn 2.68
Br (0.7450, 0.7450, 0.2562)  1 Sn 2.64, 1 Mn 2.76
Br (0.8942, 0.6104, 0.7531)  1 Mn 2.65, 1 Sn 2.68

***

3.
Compound: MnSn2Br6
Source: the Alexandria database
Functional: PBE-GGA
Structure: optimized geometry

Results
ΔE_f (raw) ... -0.723 eV per atom
Distance to the lowest polymorph of the same formula ... 39 meV per atom
VASP energy ... -3.7464 eV per atom

Unit cell a=9.5317 b=9.5317 c=7.1438 alpha=95.95 beta=95.95 gamma=78.99
Last column: nearest neighbours and their distance in Å.
Atoms (fractional coordinates):
Mn (0.0803, 0.9197, 0.7500)  6 Br 2.69-2.71
Mn (0.9197, 0.0803, 0.2500)  6 Br 2.69-2.71
Sn (0.1711, 0.3677, 0.6973)  3 Br 2.82-2.83
Sn (0.3677, 0.1711, 0.1973)  3 Br 2.82-2.83
Sn (0.6323, 0.8289, 0.8027)  3 Br 2.82-2.83
Sn (0.8289, 0.6323, 0.3027)  3 Br 2.82-2.83
Br (0.0332, 0.1717, 0.9619)  2 Mn 2.69-2.71
Br (0.1294, 0.6488, 0.5808)  1 Mn 2.71, 1 Sn 2.83
Br (0.1717, 0.0332, 0.4619)  2 Mn 2.69-2.71
Br (0.3020, 0.4444, 0.0571)  2 Sn 2.82-2.83
Br (0.3512, 0.8706, 0.9192)  1 Mn 2.71, 1 Sn 2.83
Br (0.4444, 0.3020, 0.5571)  2 Sn 2.82-2.83
Br (0.5556, 0.6980, 0.4429)  2 Sn 2.82-2.83
Br (0.6488, 0.1294, 0.0808)  1 Mn 2.71, 1 Sn 2.83
Br (0.6980, 0.5556, 0.9429)  2 Sn 2.82-2.83
Br (0.8283, 0.9668, 0.5381)  2 Mn 2.69-2.71
Br (0.8706, 0.3512, 0.4192)  1 Mn 2.71, 1 Sn 2.83
Br (0.9668, 0.8283, 0.0381)  2 Mn 2.69-2.71

***

4.
Compound: MnTlSn2Br8
Source: the Alexandria database
Functional: PBE-GGA
Structure: optimized geometry

Results
ΔE_f (raw) ... -0.719 eV per atom
VASP energy ... -3.4629 eV per atom

Unit cell a=6.7851 b=7.6756 c=8.9024 alpha=78.31 beta=73.99 gamma=86.13
Last column: nearest neighbours and their distance in Å.
Atoms (fractional coordinates):
Mn (0.0000, 0.0000, 0.0000)  4 Br 2.44-2.48
Tl (0.0000, 0.0000, 0.5000)  6 Br 3.38-3.43
Sn (0.4548, 0.3767, 0.7531)  3 Br 2.70-2.97
Sn (0.5452, 0.6233, 0.2469)  3 Br 2.70-2.97
Br (0.1697, 0.1924, 0.1120)  1 Mn 2.44
Br (0.1888, 0.7344, 0.1020)  1 Mn 2.48
Br (0.2358, 0.5976, 0.5337)  2 Sn 2.80-2.97
Br (0.3346, 0.0658, 0.7101)  1 Sn 2.70, 1 Mn 2.91
Br (0.6654, 0.9342, 0.2899)  1 Sn 2.70, 1 Mn 2.91
Br (0.7642, 0.4024, 0.4663)  2 Sn 2.80-2.97
Br (0.8112, 0.2656, 0.8980)  1 Mn 2.48
Br (0.8303, 0.8076, 0.8880)  1 Mn 2.44

***

5.
Compound: MnTl2SnBr6
Source: the Alexandria database
Functional: PBE-GGA
Structure: optimized geometry

Results
ΔE_f (raw) ... -0.793 eV per atom
VASP energy ... -3.5873 eV per atom

Unit cell a=7.7673 b=7.7678 c=7.7757 alpha=61.19 beta=61.14 gamma=61.16
Last column: nearest neighbours and their distance in Å.
Atoms (fractional coordinates):
Mn (0.0000, 0.0000, 0.0000)  6 Br 2.69
Tl (0.2239, 0.2231, 0.2230)  6 Br 3.38-3.47
Tl (0.7761, 0.7769, 0.7770)  6 Br 3.38-3.47
Sn (0.5000, 0.5000, 0.5000)  6 Br 2.99
Br (0.1573, 0.3150, 0.7747)  1 Mn 2.69, 1 Sn 2.99
Br (0.2276, 0.8429, 0.6847)  1 Mn 2.69, 1 Sn 2.99
Br (0.3144, 0.7730, 0.1582)  1 Mn 2.69, 1 Sn 2.99
Br (0.6856, 0.2270, 0.8418)  1 Mn 2.69, 1 Sn 2.99
Br (0.7724, 0.1571, 0.3153)  1 Mn 2.69, 1 Sn 2.99
Br (0.8427, 0.6850, 0.2253)  1 Mn 2.69, 1 Sn 2.99

***

6.
Compound: MnTlSnBr5
Source: the Alexandria database
Functional: PBE-GGA
Structure: optimized geometry

Results
ΔE_f (raw) ... -0.789 eV per atom
VASP energy ... -3.7772 eV per atom

Unit cell a=8.0336 b=8.0336 c=10.6726 alpha=104.32 beta=104.32 gamma=105.89
Last column: nearest neighbours and their distance in Å.
Atoms (fractional coordinates):
Mn (0.1832, 0.8168, 0.7500)  4 Br 2.51
Mn (0.8168, 0.1832, 0.2500)  4 Br 2.51
Tl (0.1532, 0.8468, 0.2500)  5 Br 3.27-3.45
Tl (0.8468, 0.1532, 0.7500)  5 Br 3.27-3.45
Sn (0.5000, 0.5000, 0.0000)  6 Br 2.92-3.05
Sn (0.5000, 0.5000, 0.5000)  6 Br 2.92-3.05
Br (0.1097, 0.2407, 0.4357)  1 Mn 2.51
Br (0.1646, 0.5858, 0.8714)  1 Mn 2.51
Br (0.2407, 0.1097, 0.9357)  1 Mn 2.51
Br (0.4078, 0.5922, 0.2500)  2 Sn 2.92, 1 Tl 3.27
Br (0.4142, 0.8354, 0.6286)  1 Mn 2.51
Br (0.5858, 0.1646, 0.3714)  1 Mn 2.51
Br (0.5922, 0.4078, 0.7500)  2 Sn 2.92, 1 Tl 3.27
Br (0.7593, 0.8903, 0.0643)  1 Mn 2.51
Br (0.8354, 0.4142, 0.1286)  1 Mn 2.51
Br (0.8903, 0.7593, 0.5643)  1 Mn 2.51

***

7.
Compound: Mn2TlSnBr8
Source: the Alexandria database
Functional: PBE-GGA
Structure: optimized geometry

Results
ΔE_f (raw) ... -0.715 eV per atom
VASP energy ... -3.8892 eV per atom

Unit cell a=6.9830 b=6.9830 c=9.8671 alpha=90.00 beta=90.00 gamma=120.00
Last column: nearest neighbours and their distance in Å.
Atoms (fractional coordinates):
Mn (0.3333, 0.6667, 0.2501)  4 Br 2.40-2.49
Mn (0.6667, 0.3333, 0.7499)  4 Br 2.40-2.49
Tl (0.0000, 0.0000, 0.5000)  12 Br 3.90-4.03
Sn (0.0000, 0.0000, 0.0000)  6 Br 2.86
Br (0.0041, 0.6782, 0.8218)  1 Mn 2.49
Br (0.3218, 0.3259, 0.8218)  1 Mn 2.49
Br (0.3259, 0.0041, 0.1782)  1 Mn 2.49
Br (0.3333, 0.6667, 0.4931)  1 Mn 2.40
Br (0.6667, 0.3333, 0.5069)  1 Mn 2.40
Br (0.6741, 0.9959, 0.8218)  1 Mn 2.49
Br (0.6782, 0.6741, 0.1782)  1 Mn 2.49
Br (0.9959, 0.3218, 0.1782)  1 Mn 2.49

***

8.
Compound: Sr2MnBr
Source: the Alexandria database
Functional: PBE-GGA
Structure: optimized geometry

Results
ΔE_f (raw) ... -0.374 eV per atom
Distance to the lowest polymorph of the same formula ... 0 meV per atom
VASP energy ... -3.9253 eV per atom

Unit cell a=4.1870 b=4.1870 c=9.2451 alpha=103.15 beta=103.15 gamma=59.89
Last column: nearest neighbours and their distance in Å.
Atoms (fractional coordinates):
Sr (0.2475, 0.2475, 0.2399)  3 Mn 3.23, 3 Br 3.35-3.36
Sr (0.7525, 0.7525, 0.7601)  3 Mn 3.23, 3 Br 3.35-3.36
Mn (0.5000, 0.5000, 0.0000)  6 Sr 3.23
Br (0.0000, 0.0000, 0.5000)  6 Sr 3.35-3.36

***

9.
Compound: SrMnBr
Source: the Alexandria database
Functional: PBE-GGA
Structure: optimized geometry

Results
ΔE_f (raw) ... 0.048 eV per atom
VASP energy ... -4.1272 eV per atom

Unit cell a=5.2331 b=5.2331 c=5.2331 alpha=60.00 beta=60.00 gamma=60.00
Last column: nearest neighbours and their distance in Å.
Atoms (fractional coordinates):
Sr (0.0000, 0.0000, 0.0000)  4 Br 3.20
Mn (0.5000, 0.5000, 0.5000)  4 Br 3.20
Br (0.2500, 0.2500, 0.2500)  4 Mn 3.20, 4 Sr 3.20

***

10.
Compound: Sr2MnBr
Source: the Alexandria database
Functional: PBE-GGA
Structure: optimized geometry

Results
ΔE_f (raw) ... -0.370 eV per atom
Distance to the lowest polymorph of the same formula ... 4 meV per atom
VASP energy ... -3.9215 eV per atom

Unit cell a=4.1112 b=3.9398 c=8.9463 alpha=90.00 beta=92.69 gamma=90.00
Last column: nearest neighbours and their distance in Å.
Atoms (fractional coordinates):
Sr (0.0228, 0.0000, 0.2200)  2 Br 3.19, 4 Mn 3.46
Sr (0.9772, 0.0000, 0.7800)  2 Br 3.19, 4 Mn 3.46
Mn (0.5000, 0.5000, 0.0000)  8 Sr 3.46
Br (0.0000, 0.5000, 0.5000)  4 Sr 3.19

***

11.
Compound: Sr2MnBr
Source: the Alexandria database
Functional: PBE-GGA
Structure: optimized geometry

Results
ΔE_f (raw) ... -0.282 eV per atom
Distance to the lowest polymorph of the same formula ... 92 meV per atom
VASP energy ... -3.8336 eV per atom

Unit cell a=4.5624 b=4.5884 c=6.6446 alpha=90.00 beta=90.00 gamma=90.00
Last column: nearest neighbours and their distance in Å.
Atoms (fractional coordinates):
Sr (0.0000, 0.0000, 0.0000)  4 Br 3.24, 2 Mn 3.32
Sr (0.5000, 0.5000, 0.5000)  4 Mn 3.24, 2 Br 3.32
Mn (0.0000, 0.0000, 0.5000)  6 Sr 3.24-3.32
Br (0.5000, 0.5000, 0.0000)  6 Sr 3.24-3.32

***

12.
Compound: SrMnBr2
Source: the Alexandria database
Functional: PBE-GGA
Structure: optimized geometry

Results
ΔE_f (raw) ... -0.728 eV per atom
Distance to the lowest polymorph of the same formula ... 1 meV per atom
VASP energy ... -4.2776 eV per atom

Unit cell a=5.0588 b=4.0816 c=6.3575 alpha=90.00 beta=109.24 gamma=90.00
Last column: nearest neighbours and their distance in Å.
Atoms (fractional coordinates):
Sr (0.0000, 0.0000, 0.0000)  6 Br 3.22-3.48, 2 Mn 3.42
Mn (0.4066, 0.5000, 0.4126)  3 Br 2.75-2.79
Br (0.4736, 0.5000, 0.8593)  1 Mn 2.75
Br (0.7983, 0.0000, 0.4640)  2 Mn 2.79

***

13.
Compound: SrMnBr2
Source: the Alexandria database
Functional: PBE-GGA
Structure: optimized geometry

Results
ΔE_f (raw) ... -0.688 eV per atom
Distance to the lowest polymorph of the same formula ... 41 meV per atom
VASP energy ... -4.2374 eV per atom

Unit cell a=7.6485 b=7.6485 c=5.1583 alpha=104.02 beta=104.02 gamma=29.06
Last column: nearest neighbours and their distance in Å.
Atoms (fractional coordinates):
Sr (0.0000, 0.0000, 0.0000)  6 Br 3.18-3.29, 2 Mn 3.51
Mn (0.6981, 0.6981, 0.9982)  3 Br 2.88-3.12
Br (0.3232, 0.3232, 0.8608)  2 Mn 2.88, 2 Sr 3.18
Br (0.5258, 0.5258, 0.5051)  1 Mn 3.12, 4 Sr 3.18-3.29

***

14.
Compound: SrMnBr2
Source: the Alexandria database
Functional: PBE-GGA
Structure: optimized geometry

Results
ΔE_f (raw) ... -0.710 eV per atom
Distance to the lowest polymorph of the same formula ... 19 meV per atom
VASP energy ... -4.2589 eV per atom

Unit cell a=11.0107 b=11.0107 c=11.0107 alpha=22.86 beta=22.86 gamma=22.86
Last column: nearest neighbours and their distance in Å.
Atoms (fractional coordinates):
Sr (0.0000, 0.0000, 0.0000)  6 Br 3.04
Mn (0.5000, 0.5000, 0.5000)  6 Mn 4.36, 6 Br 4.44
Br (0.2804, 0.2804, 0.2804)  3 Sr 3.04
Br (0.7196, 0.7196, 0.7196)  3 Sr 3.04

***

15.
Compound: SrMn2Br6
Source: the Alexandria database
Functional: PBE-GGA
Structure: optimized geometry

Results
ΔE_f (raw) ... -1.193 eV per atom
VASP energy ... -4.5327 eV per atom

Unit cell a=9.5946 b=9.5946 c=7.5041 alpha=100.00 beta=100.00 gamma=85.00
Last column: nearest neighbours and their distance in Å.
Atoms (fractional coordinates):
Sr (0.1184, 0.8816, 0.7500)  6 Br 3.01-3.19
Sr (0.8816, 0.1184, 0.2500)  6 Br 3.01-3.19
Mn (0.2282, 0.3805, 0.7215)  4 Br 2.47-2.56
Mn (0.3805, 0.2282, 0.2215)  4 Br 2.47-2.56
Mn (0.6195, 0.7718, 0.7785)  4 Br 2.47-2.56
Mn (0.7718, 0.6195, 0.2785)  4 Br 2.47-2.56
Br (0.0464, 0.1908, 0.6448)  1 Mn 2.56
Br (0.1281, 0.6026, 0.8841)  1 Mn 2.47
Br (0.1908, 0.0464, 0.1448)  1 Mn 2.56
Br (0.2845, 0.4387, 0.4265)  2 Mn 2.53
Br (0.3974, 0.8719, 0.6159)  1 Mn 2.47
Br (0.4387, 0.2845, 0.9265)  2 Mn 2.53
Br (0.5613, 0.7155, 0.0735)  2 Mn 2.53
Br (0.6026, 0.1281, 0.3841)  1 Mn 2.47
Br (0.7155, 0.5613, 0.5735)  2 Mn 2.53
Br (0.8092, 0.9536, 0.8552)  1 Mn 2.56
Br (0.8719, 0.3974, 0.1159)  1 Mn 2.47
Br (0.9536, 0.8092, 0.3552)  1 Mn 2.56

***

16.
Compound: SrMnBr2
Source: the Alexandria database
Functional: PBE-GGA
Structure: optimized geometry

Results
ΔE_f (raw) ... -0.552 eV per atom
Distance to the lowest polymorph of the same formula ... 177 meV per atom
VASP energy ... -4.1012 eV per atom

Unit cell a=9.6206 b=9.6206 c=9.6206 alpha=24.28 beta=24.28 gamma=24.28
Last column: nearest neighbours and their distance in Å.
Atoms (fractional coordinates):
Sr (0.0000, 0.0000, 0.0000)  2 Br 3.20
Mn (0.5000, 0.5000, 0.5000)  6 Br 2.76
Br (0.1144, 0.1144, 0.1144)  3 Mn 2.76
Br (0.8856, 0.8856, 0.8856)  3 Mn 2.76

***

17.
Compound: SrMnBr2
Source: the Alexandria database
Functional: PBE-GGA
Structure: optimized geometry

Results
ΔE_f (raw) ... -0.628 eV per atom
Distance to the lowest polymorph of the same formula ... 101 meV per atom
VASP energy ... -4.1772 eV per atom

Unit cell a=5.7255 b=5.7255 c=5.7255 alpha=132.93 beta=119.51 gamma=80.00
Last column: nearest neighbours and their distance in Å.
Atoms (fractional coordinates):
Sr (0.0000, 0.0000, 0.0000)  8 Br 3.30-3.51, 4 Mn 3.68
Mn (0.5000, 0.5000, 0.0000)  4 Br 3.04
Br (0.2714, 0.7714, 0.5000)  2 Mn 3.04, 2 Sr 3.30
Br (0.7286, 0.2286, 0.5000)  2 Mn 3.04, 2 Sr 3.30

***

18.
Compound: Sr2MnBr
Source: the Alexandria database
Functional: PBE-GGA
Structure: optimized geometry

Results
ΔE_f (raw) ... -0.280 eV per atom
Distance to the lowest polymorph of the same formula ... 94 meV per atom
VASP energy ... -3.8315 eV per atom

Unit cell a=9.2077 b=9.2077 c=9.2077 alpha=155.51 beta=154.46 gamma=35.68
Last column: nearest neighbours and their distance in Å.
Atoms (fractional coordinates):
Sr (0.0000, 0.0000, 0.0000)  2 Mn 3.16, 4 Br 3.37
Sr (0.7660, 0.2660, 0.5000)  4 Mn 3.28, 2 Br 3.43
Mn (0.3620, 0.8620, 0.5000)  6 Sr 3.16-3.28
Br (0.6050, 0.6050, 0.0000)  6 Sr 3.37-3.43

***

19.
Compound: Sr2MnBr
Source: the Alexandria database
Functional: PBE-GGA
Structure: optimized geometry

Results
ΔE_f (raw) ... -0.275 eV per atom
Distance to the lowest polymorph of the same formula ... 99 meV per atom
VASP energy ... -3.8264 eV per atom

Unit cell a=5.1983 b=6.6620 c=6.6620 alpha=35.20 beta=90.00 gamma=90.00
Last column: nearest neighbours and their distance in Å.
Atoms (fractional coordinates):
Sr (0.0000, 0.0000, 0.0000)  3 Br 3.31-3.65, 4 Mn 3.31
Sr (0.5000, 0.2717, 0.2717)  1 Mn 3.27, 4 Br 3.31
Mn (0.5000, 0.5289, 0.5289)  5 Sr 3.27-3.31
Br (0.0000, 0.7395, 0.7395)  7 Sr 3.31-3.65

***

20.
Compound: SrMnBr
Source: the Alexandria database
Functional: PBE-GGA
Structure: optimized geometry

Results
ΔE_f (raw) ... -0.092 eV per atom
VASP energy ... -4.2670 eV per atom

Unit cell a=4.9939 b=4.9939 c=3.9326 alpha=90.00 beta=90.00 gamma=120.00
Last column: nearest neighbours and their distance in Å.
Atoms (fractional coordinates):
Sr (0.0000, 0.0000, 0.0000)  6 Mn 3.49, 6 Br 3.49
Mn (0.3333, 0.6667, 0.5000)  3 Br 2.88
Br (0.6667, 0.3333, 0.5000)  3 Mn 2.88